# 1
DFT (PBE) results for crystalline AlReAg at its relaxed geometry.

Calculated values
Total magnetization ... 0.0 μB per cell
E_tot ... -0.4457 Ry/atom

Cell: 6.5580 6.5580 6.5580 Å, 155.82 155.82 34.47°
Sites, in units of the cell vectors:
Al (0.3265, 0.3265, 0.0000)
Ag (0.9960, 0.9960, 0.0000)
Re (0.6774, 0.6774, 0.0000)

=====

# 2
DFT (PBE) results for crystalline AlReAg at its relaxed geometry.

Calculated values
Total magnetization ... 0.0 μB per cell
E_tot ... -0.4729 Ry/atom

Cell: 2.8677 2.8677 40.0005 Å, 90.00 90.00 120.00°
Sites, in units of the cell vectors:
Ag (0.3333, 0.6667, 0.0007)
Ag (0.6667, 0.3333, 0.6673)
Ag (0.0000, 0.0000, 0.6050)
Ag (0.6667, 0.3333, 0.9384)
Ag (0.3333, 0.6667, 0.2717)
Ag (0.0000, 0.0000, 0.3340)
Re (0.0000, 0.0000, 0.4427)
Re (0.6667, 0.3333, 0.7760)
Re (0.3333, 0.6667, 0.1093)
Re (0.0000, 0.0000, 0.8281)
Re (0.3333, 0.6667, 0.4948)
Re (0.6667, 0.3333, 0.1614)
Al (0.0000, 0.0000, 0.2151)
Al (0.6667, 0.3333, 0.3893)
Al (0.3333, 0.6667, 0.8818)
Al (0.3333, 0.6667, 0.7226)
Al (0.0000, 0.0000, 0.0559)
Al (0.6667, 0.3333, 0.5484)

=====

# 3
DFT (PBE) results for crystalline AlRe2Ag at its relaxed geometry.

Calculated values
Total magnetization ... 0.0 μB per cell
E_tot ... -0.5551 Ry/atom

Cell: 3.1133 4.3263 4.5818 Å, 90.00 90.00 90.00°
Sites, in units of the cell vectors:
Re (0.0000, 0.0000, 0.0000)
Re (0.5000, 0.5000, 0.0000)
Al (0.0000, 0.5000, 0.5000)
Ag (0.5000, 0.0000, 0.5000)

=====

# 4
DFT (PBE) results for crystalline AlRe2Ag at its relaxed geometry.

Calculated values
Total magnetization ... 0.0 μB per cell
E_tot ... -0.5499 Ry/atom

Cell: 2.7886 4.1860 5.3797 Å, 90.00 90.00 90.00°
Sites, in units of the cell vectors:
Al (0.5000, 0.5000, 0.7500)
Re (0.0000, 0.0000, 0.5282)
Re (0.0000, 0.0000, 0.9718)
Ag (0.5000, 0.5000, 0.2500)

=====

# 5
DFT (PBE) results for crystalline AlRe2Ag at its relaxed geometry.

Calculated values
Total magnetization ... 0.0 μB per cell
E_tot ... -0.5628 Ry/atom

Cell: 2.7530 2.7530 9.1817 Å, 90.00 90.00 115.32°
Sites, in units of the cell vectors:
Ag (0.0000, 0.0000, 0.5097)
Al (0.5000, 0.5000, 0.7588)
Re (0.5000, 0.5000, 0.2330)
Re (0.0000, 0.0000, 0.9985)

=====

# 6
DFT (PBE) results for crystalline Al2ReAg at its relaxed geometry.

Calculated values
Total magnetization ... 0.0 μB per cell
E_tot ... -0.3919 Ry/atom

Cell: 4.4557 4.4557 4.4557 Å, 60.00 60.00 60.00°
Sites, in units of the cell vectors:
Re (0.7500, 0.7500, 0.7500)
Al (0.2500, 0.2500, 0.2500)
Al (0.0000, 0.0000, 0.0000)
Ag (0.5000, 0.5000, 0.5000)

=====

# 7
DFT (PBE) results for crystalline AlReAg at its relaxed geometry.

Calculated values
Total magnetization ... 0.0 μB per cell
E_tot ... -0.4492 Ry/atom

Cell: 7.1712 6.9683 2.7453 Å, 82.99 74.68 22.33°
Sites, in units of the cell vectors:
Ag (0.9940, 0.9940, 0.0060)
Al (0.3291, 0.3291, 0.6709)
Re (0.6769, 0.6769, 0.3231)

=====

# 8
DFT (PBE) results for crystalline AlRe2Ag2 at its relaxed geometry.

Calculated values
Total magnetization ... 0.0 μB per cell
E_tot ... -0.4512 Ry/atom

Cell: 7.7296 7.7296 7.7296 Å, 153.57 153.57 37.73°
Sites, in units of the cell vectors:
Al (0.0000, 0.0000, 0.0000)
Ag (0.4065, 0.4065, 0.0000)
Ag (0.5935, 0.5935, 0.0000)
Re (0.2500, 0.7500, 0.5000)
Re (0.7500, 0.2500, 0.5000)

=====

# 9
DFT (PBE) results for crystalline AlRe4Ag at its relaxed geometry.

Calculated values
Total magnetization ... 0.0 μB per cell
E_tot ... -0.6508 Ry/atom

Cell: 5.2061 5.2061 5.2061 Å, 60.00 60.00 60.00°
Sites, in units of the cell vectors:
Re (0.3754, 0.3754, 0.3754)
Re (0.3754, 0.3754, 0.8740)
Re (0.8740, 0.3754, 0.3754)
Re (0.3754, 0.8740, 0.3754)
Al (0.0000, 0.0000, 0.0000)
Ag (0.7500, 0.7500, 0.7500)

=====

# 10
DFT (PBE) results for crystalline Al2ReAg at its relaxed geometry.

Calculated values
Total magnetization ... 0.0 μB per cell
E_tot ... -0.4134 Ry/atom

Cell: 2.7563 4.1801 5.4289 Å, 90.00 90.00 90.00°
Sites, in units of the cell vectors:
Al (0.0000, 0.0000, 0.9797)
Al (0.5000, 0.5000, 0.2846)
Re (0.0000, 0.0000, 0.4603)
Ag (0.5000, 0.5000, 0.7754)

=====

# 11
DFT (PBE) results for crystalline AlReAg at its relaxed geometry.

Calculated values
Total magnetization ... 0.0 μB per cell
E_tot ... -0.4586 Ry/atom

Cell: 4.7424 2.8362 14.1480 Å, 90.00 86.05 90.00°
Sites, in units of the cell vectors:
Ag (0.9369, 0.5000, 0.5465)
Ag (0.4369, 0.0000, 0.5465)
Ag (0.4369, 0.5000, 0.0465)
Ag (0.9369, 0.0000, 0.0465)
Re (0.3245, 0.0000, 0.8680)
Re (0.5488, 0.0000, 0.2250)
Re (0.3245, 0.5000, 0.3680)
Re (0.5488, 0.5000, 0.7250)
Al (0.0371, 0.5000, 0.2110)
Al (0.0371, 0.0000, 0.7110)
Al (0.8362, 0.5000, 0.8819)
Al (0.8362, 0.0000, 0.3819)

=====

# 12
DFT (PBE) results for crystalline AlRe2Ag at its relaxed geometry.

Calculated values
Total magnetization ... 0.0 μB per cell
E_tot ... -0.5574 Ry/atom

Cell: 5.1949 5.1949 4.5359 Å, 71.56 71.56 32.44°
Sites, in units of the cell vectors:
Re (0.4832, 0.4832, 0.5147)
Re (0.0168, 0.0168, 0.9853)
Ag (0.2500, 0.2500, 0.2500)
Al (0.7500, 0.7500, 0.7500)

=====

# 13
DFT (PBE) results for crystalline AlReAg at its relaxed geometry.

Calculated values
Total magnetization ... 0.0 μB per cell
E_tot ... -0.4607 Ry/atom

Cell: 2.8580 4.6610 7.7498 Å, 78.67 79.70 72.45°
Sites, in units of the cell vectors:
Ag (0.6723, 0.2583, 0.9030)
Ag (0.3277, 0.7417, 0.0970)
Al (0.9992, 0.7641, 0.7406)
Al (0.0008, 0.2359, 0.2594)
Re (0.3482, 0.2457, 0.5635)
Re (0.6518, 0.7543, 0.4365)

=====

# 14
DFT (PBE) results for crystalline Al2ReAg at its relaxed geometry.

Calculated values
Total magnetization ... 0.0 μB per cell
E_tot ... -0.4253 Ry/atom

Cell: 3.1777 3.1778 6.0992 Å, 90.00 90.00 90.00°
Sites, in units of the cell vectors:
Ag (0.5000, 0.5000, 0.7500)
Al (0.0000, 0.0000, 0.0295)
Al (0.0000, 0.0000, 0.4705)
Re (0.5000, 0.5000, 0.2500)

=====

# 15
DFT (PBE) results for crystalline AlRe2Ag at its relaxed geometry.

Calculated values
Total magnetization ... 0.0 μB per cell
E_tot ... -0.5751 Ry/atom

Cell: 9.1782 9.1782 9.1782 Å, 17.70 17.70 17.70°
Sites, in units of the cell vectors:
Re (0.0001, 0.0001, 0.0001)
Re (0.2564, 0.2564, 0.2564)
Al (0.7463, 0.7463, 0.7463)
Ag (0.4974, 0.4974, 0.4974)

=====

# 16
DFT (PBE) results for crystalline AlRe2Ag at its relaxed geometry.

Calculated values
Total magnetization ... 0.0 μB per cell
E_tot ... -0.5408 Ry/atom

Cell: 2.9519 2.9519 7.0123 Å, 90.00 90.00 90.00°
Sites, in units of the cell vectors:
Re (0.0000, 0.0000, 0.5318)
Re (0.0000, 0.0000, 0.9682)
Ag (0.5000, 0.5000, 0.2500)
Al (0.5000, 0.5000, 0.7500)

=====

# 17
DFT (PBE) results for crystalline Al2ReAg at its relaxed geometry.

Calculated values
Total magnetization ... 0.0 μB per cell
E_tot ... -0.4227 Ry/atom

Cell: 3.2631 4.2865 4.2865 Å, 90.00 90.00 90.00°
Sites, in units of the cell vectors:
Re (0.5000, 0.5000, 0.0000)
Ag (0.5000, 0.0000, 0.5000)
Al (0.0000, 0.5000, 0.5000)
Al (0.0000, 0.0000, 0.0000)

=====

# 18
DFT (PBE) results for crystalline AlReAg2S at its relaxed geometry.

Calculated values
Total magnetization ... 2.6 μB per cell
ΔE_f (raw) ... 1.25 eV/atom

Cell: 4.6196 4.7663 4.6196 Å, 90.00 90.00 90.00°
Site moments in Bohr magnetons follow the coordinates.
Sites, in units of the cell vectors:
Al (0.0000, 0.5000, 0.0000)  -0.07
Ag (0.0000, 0.0000, 0.5000)  -0.01
Ag (0.5000, 0.0000, 0.0000)  0.04
S (0.0000, 0.0000, 0.0000)  0.01
Re (0.5000, 0.5000, 0.5000)  2.47

=====

# 19
DFT (PBE) results for crystalline AlReAgSe2 at its relaxed geometry.

Calculated values
Total magnetization ... 3.7 μB per cell
ΔE_f (raw) ... 1.13 eV/atom

Cell: 4.8469 4.9797 4.8469 Å, 90.00 90.00 90.00°
Site moments in Bohr magnetons follow the coordinates.
Sites, in units of the cell vectors:
Se (0.5000, 0.0000, 0.0000)  0.10
Se (0.0000, 0.0000, 0.5000)  0.08
Ag (0.5000, 0.5000, 0.5000)  0.01
Re (0.0000, 0.5000, 0.0000)  2.88
Al (0.0000, 0.0000, 0.0000)  -0.02

=====

# 20
DFT (PBE) results for crystalline AlRe2AgW at its relaxed geometry.

Calculated values
Total magnetization ... 0.0 μB per cell
E_tot ... -0.4701 Ry/atom

Cell: 4.7957 4.2203 4.7957 Å, 90.00 90.00 90.00°
Sites, in units of the cell vectors:
Ag (0.0000, 0.0000, 0.0000)
W (0.5000, 0.5000, 0.5000)
Al (0.0000, 0.5000, 0.0000)
Re (0.0000, 0.0000, 0.5000)
Re (0.5000, 0.0000, 0.0000)

=====

# 21
DFT (PBE) results for crystalline Al8Ag2Rh at its relaxed geometry.

Calculated values
Total magnetization ... 0.0 μB per cell
E_tot ... -0.3001 Ry/atom

Cell: 4.2289 5.3968 9.0035 Å, 108.21 103.58 90.00°
Sites, in units of the cell vectors:
Al (0.0234, 0.7673, 0.0467)
Al (0.3576, 0.0032, 0.7152)
Al (0.9766, 0.2327, 0.9533)
Al (0.5957, 0.4501, 0.1914)
Al (0.4043, 0.5499, 0.8086)
Al (0.2220, 0.2980, 0.4440)
Al (0.7780, 0.7020, 0.5560)
Al (0.6424, 0.9968, 0.2848)
Rh (0.5000, 0.0000, 0.0000)
Ag (0.1809, 0.7318, 0.3618)
Ag (0.8191, 0.2682, 0.6382)

=====

# 22
DFT (PBE) results for crystalline AlAgRh2 at its relaxed geometry.

Calculated values
Total magnetization ... 0.0 μB per cell
E_tot ... -0.4116 Ry/atom

Cell: 2.7788 2.7788 8.7359 Å, 90.00 90.00 115.89°
Sites, in units of the cell vectors:
Al (0.5000, 0.5000, 0.7500)
Ag (0.5000, 0.5000, 0.2500)
Rh (0.0000, 0.0000, 0.9717)
Rh (0.0000, 0.0000, 0.5283)

=====

# 23
DFT (PBE) results for crystalline AlAg2Rh2 at its relaxed geometry.

Calculated values
Total magnetization ... 1.3 μB per cell
E_tot ... -0.3228 Ry/atom

Cell: 7.5217 7.5217 7.5217 Å, 152.61 152.61 39.13°
Site moments in Bohr magnetons follow the coordinates.
Sites, in units of the cell vectors:
Ag (0.4044, 0.4044, 0.0000)  0.01
Ag (0.5956, 0.5956, 0.0000)  0.01
Rh (0.7500, 0.2500, 0.5000)  0.60
Rh (0.2500, 0.7500, 0.5000)  0.60
Al (0.0000, 0.0000, 0.0000)  0.01

=====

# 24
DFT (PBE) results for crystalline AlAgRh2 at its relaxed geometry.

Calculated values
Total magnetization ... 0.0 μB per cell
E_tot ... -0.4217 Ry/atom

Cell: 2.9690 2.9690 6.7374 Å, 90.00 90.00 90.00°
Sites, in units of the cell vectors:
Ag (0.5000, 0.5000, 0.2500)
Rh (0.0000, 0.0000, 0.9651)
Rh (0.0000, 0.0000, 0.5349)
Al (0.5000, 0.5000, 0.7500)

=====

# 25
DFT (PBE) results for crystalline Al3AgRh at its relaxed geometry.

Calculated values
Total magnetization ... 0.0 μB per cell
E_tot ... -0.3224 Ry/atom

Cell: 4.6887 4.6887 4.6887 Å, 90.00 90.00 90.00°
Sites, in units of the cell vectors:
Ag (0.5000, 0.5000, 0.5000)
Al (0.5000, 0.0000, 0.0000)
Al (0.0000, 0.5000, 0.0000)
Al (0.0000, 0.0000, 0.5000)
Rh (0.0000, 0.0000, 0.0000)

=====

# 26
DFT (PBE) results for crystalline AlAgRh2 at its relaxed geometry.

Calculated values
Total magnetization ... 0.0 μB per cell
E_tot ... -0.4062 Ry/atom

Cell: 4.7390 4.7390 4.7390 Å, 130.61 130.61 72.44°
Sites, in units of the cell vectors:
Rh (0.2500, 0.7500, 0.5000)
Rh (0.0000, 0.0000, 0.0000)
Al (0.7500, 0.2500, 0.5000)
Ag (0.5000, 0.5000, 0.0000)

=====

# 27
DFT (PBE) results for crystalline AlAgRh2 at its relaxed geometry.

Calculated values
Total magnetization ... 0.0 μB per cell
E_tot ... -0.4114 Ry/atom

Cell: 3.9684 2.8613 5.5718 Å, 72.71 90.00 90.00°
Sites, in units of the cell vectors:
Rh (0.0000, 0.5953, 0.5228)
Rh (0.0000, 0.9047, 0.9772)
Ag (0.5000, 0.2500, 0.2500)
Al (0.5000, 0.7500, 0.7500)

=====

# 28
DFT (PBE) results for crystalline AlAgRh2 at its relaxed geometry.

Calculated values
Total magnetization ... 0.0 μB per cell
E_tot ... -0.4018 Ry/atom

Cell: 2.9143 4.6397 4.4527 Å, 90.00 90.00 90.00°
Sites, in units of the cell vectors:
Rh (0.5000, 0.5000, 0.0000)
Rh (0.0000, 0.0000, 0.0000)
Ag (0.5000, 0.0000, 0.5000)
Al (0.0000, 0.5000, 0.5000)